(1)
This record from the Alexandria database describes a relaxed structure of Tl2Zn2Sn. The functional is PBE.

Calculated values
* energy above the lowest structure with this stoichiometry: 11.53 kJ per mole of atoms

abc: 8.768 8.768 3.254
angles: 90.00 90.00 90.00
Space group P4/mbm (No. 127)
Asymmetric unit:
1 Tl 0.192 0.308 0.000 (multiplicity 4)
2 Zn 0.106 0.606 0.500 (multiplicity 4)
3 Sn 0.000 0.000 0.000 (multiplicity 2)

=====

(2)
This record from the Alexandria database describes a relaxed structure of K4Rb2Hg. The functional is PBE.

Calculated values
* energy above the lowest structure with this stoichiometry: 4.54 kJ per mole of atoms

abc: 6.773 6.773 22.564
angles: 90.00 90.00 90.00
Space group I4/mmm (No. 139)
Asymmetric unit:
1 K 0.000 0.000 0.156 (multiplicity 4)
2 K 0.000 0.500 0.000 (multiplicity 4)
3 Rb 0.000 0.000 0.355 (multiplicity 4)
4 Hg 0.000 0.000 0.000 (multiplicity 2)

=====

(3)
This record from the Alexandria database describes a relaxed structure of Ba2Tl15Hg2. The functional is PBE.

Calculated values
* raw total energy: -2.19 eV per atom

abc: 11.2854 11.2854 16.9360
angles: 90.00 90.00 120.00
Space group R-3m (No. 166, hexagonal axes)
Asymmetric unit:
1 Ba 0.0000 0.0000 0.1766 (multiplicity 6)
2 Tl 0.0000 0.2933 0.5000 (multiplicity 18)
3 Tl 0.0000 0.5000 0.0000 (multiplicity 9)
4 Tl 0.0116 0.5058 0.6435 (multiplicity 18)
5 Hg 0.0000 0.0000 0.4019 (multiplicity 6)

=====

(4)
This record from the Alexandria database describes a relaxed structure of Pu2HfScAs4. The functional is PBE.

Calculated values
* raw total energy: -9.07 eV per atom

abc: 6.899 3.988 6.924
angles: 90.00 109.47 90.00
Space group P2/m (No. 10)
Asymmetric unit:
1 Pu 0.000 0.000 0.000 (multiplicity 1)
2 Pu 0.000 0.500 0.500 (multiplicity 1)
3 Hf 0.500 0.000 0.500 (multiplicity 1)
4 Sc 0.500 0.500 0.000 (multiplicity 1)
5 As 0.268 0.000 0.753 (multiplicity 2)
6 As 0.268 0.500 0.257 (multiplicity 2)

=====

(5)
This record from the Alexandria database describes a relaxed structure of Li2Ac3RuO8. The functional is PBE.

Calculated values
* ΔE_f (raw): -2380 meV per atom

abc: 5.6067 5.6067 7.1790
angles: 90.00 90.00 120.00
Space group P-3m1 (No. 164)
Asymmetric unit:
1 Li 0.3333 0.6667 0.2028 (multiplicity 2)
2 Ac 0.0000 0.0000 0.0000 (multiplicity 1)
3 Ac 0.3333 0.6667 0.6476 (multiplicity 2)
4 Ru 0.0000 0.0000 0.5000 (multiplicity 1)
5 O 0.1600 0.3200 0.3310 (multiplicity 6)
6 O 0.3333 0.6667 0.9536 (multiplicity 2)

=====

(6)
This record from the Alexandria database describes a relaxed structure of Ca3TlPb4. The functional is PBE.

Calculated values
* raw total energy: -3.30 eV per atom

abc: 4.762 4.888 10.318
angles: 90.00 90.00 90.00
Space group Pmmm (No. 47)
Asymmetric unit:
1 Ca 0.000 0.000 0.000 (multiplicity 1)
2 Ca 0.000 0.500 0.264 (multiplicity 2)
3 Tl 0.000 0.000 0.500 (multiplicity 1)
4 Pb 0.500 0.000 0.242 (multiplicity 2)
5 Pb 0.500 0.500 0.000 (multiplicity 1)
6 Pb 0.500 0.500 0.500 (multiplicity 1)

=====

(7)
This record from the Alexandria database describes a relaxed structure of AlTlIn2. The functional is PBE.

Calculated values
* energy above the lowest structure with this stoichiometry: 7.65 kJ per mole of atoms

abc: 3.529 5.356 5.508
angles: 90.00 90.00 90.00
Space group Pmmm (No. 47)
Asymmetric unit:
1 Al 0.000 0.000 0.000 (multiplicity 1)
2 Tl 0.500 0.500 0.000 (multiplicity 1)
3 In 0.000 0.500 0.500 (multiplicity 1)
4 In 0.500 0.000 0.500 (multiplicity 1)

=====

(8)
This record from the Alexandria database describes a relaxed structure of BaCa3Rh. The functional is PBE.

Calculated values
* energy above the lowest structure with this stoichiometry: 0.23 kJ per mole of atoms

abc: 6.407 8.439 7.049
angles: 90.00 90.00 90.00
Space group Pmma (No. 51)
Asymmetric unit:
1 Ba 0.250 0.000 0.202 (multiplicity 2)
2 Ca 0.250 0.272 0.676 (multiplicity 4)
3 Ca 0.250 0.500 0.172 (multiplicity 2)
4 Rh 0.000 0.500 0.500 (multiplicity 2)

=====

(9)
This record from the Alexandria database describes a relaxed structure of InNiAgPt. The functional is PBE.

Calculated values
* raw total energy: -4.46 eV per atom

abc: 6.394 6.394 6.394
angles: 90.00 90.00 90.00
Space group F-43m (No. 216)
Asymmetric unit:
1 In 0.000 0.000 0.000 (multiplicity 4)
2 Ni 0.250 0.250 0.250 (multiplicity 4)
3 Ag 0.000 0.000 0.500 (multiplicity 4)
4 Pt 0.250 0.250 0.750 (multiplicity 4)

=====

(10)
This record from the Alexandria database describes a relaxed structure of YPSeN2. The functional is PBE.

Calculated values
* ΔE_f (raw): 1162 meV per atom
* energy above the lowest structure with this stoichiometry: 95.26 kJ per mole of atoms

abc: 4.356 4.356 5.978
angles: 90.00 90.00 90.00
Space group P4/mmm (No. 123)
Asymmetric unit:
1 Y 0.000 0.000 0.000 (multiplicity 1)
2 P 0.500 0.500 0.500 (multiplicity 1)
3 Se 0.000 0.000 0.500 (multiplicity 1)
4 N 0.000 0.500 0.000 (multiplicity 2)

=====

(11)
This record from the Alexandria database describes a relaxed structure of Th2ZrH. The functional is PBE.

Calculated values
* raw total energy: -6.50 eV per atom

abc: 3.3571 3.3571 28.1822
angles: 90.00 90.00 120.00
Space group R-3m (No. 166, hexagonal axes)
Asymmetric unit:
1 Th 0.0000 0.0000 0.1096 (multiplicity 6)
2 Zr 0.0000 0.0000 0.0000 (multiplicity 3)
3 H 0.0000 0.0000 0.5000 (multiplicity 3)

=====

(12)
This record from the Alexandria database describes a relaxed structure of PmPrNdCu. The functional is PBE.

Calculated values
* raw total energy: -4.66 eV per atom

abc: 3.632 3.632 8.875
angles: 90.00 90.00 90.00
Space group P4mm (No. 99)
Asymmetric unit:
1 Pm 0.000 0.000 0.000 (multiplicity 1)
2 Pr 0.500 0.500 0.305 (multiplicity 1)
3 Nd 0.000 0.000 0.611 (multiplicity 1)
4 Cu 0.500 0.500 0.809 (multiplicity 1)

=====

What did the second record say?
This record from the Alexandria database describes a relaxed structure of K4Rb2Hg. The functional is PBE.

Calculated values
* energy above the lowest structure with this stoichiometry: 4.54 kJ per mole of atoms

abc: 6.773 6.773 22.564
angles: 90.00 90.00 90.00
Space group I4/mmm (No. 139)
Asymmetric unit:
1 K 0.000 0.000 0.156 (multiplicity 4)
2 K 0.000 0.500 0.000 (multiplicity 4)
3 Rb 0.000 0.000 0.355 (multiplicity 4)
4 Hg 0.000 0.000 0.000 (multiplicity 2)

=====

- What is the formula in the twelfth record?
  PmPrNdCu

=====

Repeat the third record exactly.
This record from the Alexandria database describes a relaxed structure of Ba2Tl15Hg2. The functional is PBE.

Calculated values
* raw total energy: -2.19 eV per atom

abc: 11.2854 11.2854 16.9360
angles: 90.00 90.00 120.00
Space group R-3m (No. 166, hexagonal axes)
Asymmetric unit:
1 Ba 0.0000 0.0000 0.1766 (multiplicity 6)
2 Tl 0.0000 0.2933 0.5000 (multiplicity 18)
3 Tl 0.0000 0.5000 0.0000 (multiplicity 9)
4 Tl 0.0116 0.5058 0.6435 (multiplicity 18)
5 Hg 0.0000 0.0000 0.4019 (multiplicity 6)